Record 1
! CsMgSn3, optimized geometry, DFT GGA-PBE; values from VASP
! **Formation enthalpy at 0 K**: -16.2 meV/atom
! **SG**: Cmcm
! **Raw total energy**: -2.91 eV/atom
! **Energy above the lowest structure with this stoichiometry**: 0 meV per atom
&SYSTEM
  ibrav = 0, nat = 10, ntyp = 3
/
ATOMIC_SPECIES
Cs 132.91 Cs.upf
Sn 118.71 Sn.upf
Mg 24.30 Mg.upf
CELL_PARAMETERS angstrom
7.122 0.000 0.000
0.000 7.401 0.002
0.000 -3.699 6.406
ATOMIC_POSITIONS crystal
Cs 0.250 0.333 0.666
Sn 0.250 0.799 0.200
Mg 0.000 0.000 0.000
Cs 0.750 0.667 0.334
Sn 0.750 0.201 0.800
Sn 0.250 0.401 0.200
Sn 0.250 0.800 0.599
Sn 0.750 0.599 0.800
Mg 0.500 0.000 0.000
Sn 0.750 0.200 0.401

=====

Record 2
! Cs2Mg12Sn7, optimized geometry, DFT GGA-PBE; values from VASP
! **Formation enthalpy at 0 K**: -194.0 meV/atom
! **SG**: P-3
! **Raw total energy**: -2.52 eV/atom
&SYSTEM
  ibrav = 0, nat = 21, ntyp = 3
/
ATOMIC_SPECIES
Sn 118.71 Sn.upf
Mg 24.30 Mg.upf
Cs 132.91 Cs.upf
CELL_PARAMETERS angstrom
-4.602 0.712 -1.068
-2.803 -10.313 5.197
0.075 10.034 6.366
ATOMIC_POSITIONS crystal
Sn 0.247 0.895 0.297
Mg 0.250 0.122 0.259
Mg 0.251 0.943 0.570
Mg 0.749 0.373 0.943
Sn 0.753 0.297 0.401
Mg 0.749 0.057 0.430
Sn 0.247 0.401 0.105
Mg 0.251 0.430 0.373
Cs 0.744 0.667 0.333
Mg 0.749 0.570 0.627
Mg 0.250 0.741 0.863
Cs 0.256 0.333 0.667
Mg 0.750 0.878 0.741
Sn 0.500 0.000 0.000
Sn 0.247 0.703 0.599
Mg 0.251 0.627 0.057
Sn 0.753 0.105 0.703
Mg 0.750 0.259 0.137
Mg 0.250 0.137 0.878
Mg 0.750 0.863 0.122
Sn 0.753 0.599 0.895

=====

Record 3
! CsMg2Sn2, optimized geometry, DFT GGA-PBE; values from VASP
! **Formation enthalpy at 0 K**: -109.5 meV/atom
! **SG**: P4/mbm
! **Raw total energy**: -2.52 eV/atom
! **Energy above the lowest structure with this stoichiometry**: 85 meV per atom
&SYSTEM
  ibrav = 0, nat = 10, ntyp = 3
/
ATOMIC_SPECIES
Mg 24.30 Mg.upf
Sn 118.71 Sn.upf
Cs 132.91 Cs.upf
CELL_PARAMETERS angstrom
-3.640 -5.309 6.925
-6.896 -2.847 -5.808
1.852 -2.525 -0.962
ATOMIC_POSITIONS crystal
Mg 0.871 0.629 0.000
Sn 0.656 0.844 0.500
Sn 0.844 0.344 0.500
Cs 0.500 0.500 0.000
Mg 0.129 0.371 0.000
Mg 0.371 0.871 0.000
Sn 0.344 0.156 0.500
Mg 0.629 0.129 0.000
Sn 0.156 0.656 0.500
Cs 0.000 0.000 0.000

=====

Record 4
! CsMg2Sn2, optimized geometry, DFT GGA-PBE; values from VASP
! **Formation enthalpy at 0 K**: -51.8 meV/atom
! **SG**: P4/mbm
! **Raw total energy**: -2.46 eV/atom
! **Energy above the lowest structure with this stoichiometry**: 143 meV per atom
&SYSTEM
  ibrav = 0, nat = 10, ntyp = 3
/
ATOMIC_SPECIES
Sn 118.71 Sn.upf
Mg 24.30 Mg.upf
Cs 132.91 Cs.upf
CELL_PARAMETERS angstrom
9.571 0.000 0.000
0.000 9.571 0.000
0.000 0.000 3.334
ATOMIC_POSITIONS crystal
Sn 0.643 0.143 0.000
Mg 0.863 0.363 0.500
Cs 0.500 0.500 0.000
Sn 0.357 0.857 0.000
Mg 0.363 0.137 0.500
Mg 0.637 0.863 0.500
Sn 0.143 0.357 0.000
Sn 0.857 0.643 0.000
Cs 0.000 0.000 0.000
Mg 0.137 0.637 0.500

=====

Record 5
! CsMgSnTe3, optimized geometry, DFT GGA-PBE; values from VASP
! **SG**: P2_1/m
! **Formation energy from raw total energies**: -4.01 eV/f.u.
! **Raw total energy**: -3.31 eV/atom
&SYSTEM
  ibrav = 0, nat = 12, ntyp = 4
/
ATOMIC_SPECIES
Cs 132.91 Cs.upf
Te 127.60 Te.upf
Sn 118.71 Sn.upf
Mg 24.30 Mg.upf
CELL_PARAMETERS angstrom
4.399 0.000 0.000
0.000 10.591 -0.544
0.000 -3.392 10.651
ATOMIC_POSITIONS crystal
Cs 0.750 0.786 0.750
Te 0.750 0.199 0.535
Te 0.250 0.520 0.837
Te 0.750 0.480 0.163
Sn 0.750 0.338 0.883
Sn 0.250 0.662 0.117
Mg 0.250 0.083 0.613
Cs 0.250 0.214 0.250
Mg 0.750 0.917 0.387
Te 0.250 0.801 0.465
Te 0.250 0.130 0.877
Te 0.750 0.870 0.123

=====

Record 6
! Cs2MgSnTe4, optimized geometry, DFT GGA-PBE; values from VASP
! **SG**: Fddd
! **Formation energy from raw total energies**: -6.10 eV/f.u.
! **Raw total energy**: -3.25 eV/atom
&SYSTEM
  ibrav = 0, nat = 16, ntyp = 4
/
ATOMIC_SPECIES
Te 127.60 Te.upf
Sn 118.71 Sn.upf
Cs 132.91 Cs.upf
Mg 24.30 Mg.upf
CELL_PARAMETERS angstrom
-3.036 5.633 -2.617
-4.377 -1.485 -7.250
-12.917 0.127 6.125
ATOMIC_POSITIONS crystal
Te 0.303 0.797 0.110
Sn 0.500 0.000 0.000
Cs 0.933 0.500 0.135
Sn 0.250 0.500 0.500
Cs 0.567 0.500 0.865
Te 0.901 0.797 0.890
Te 0.541 0.297 0.610
Te 0.447 0.703 0.390
Te 0.587 0.203 0.110
Mg 0.750 0.500 0.500
Te 0.849 0.703 0.610
Te 0.209 0.203 0.890
Cs 0.817 0.000 0.365
Te 0.163 0.297 0.390
Cs 0.183 0.000 0.635
Mg 0.000 0.000 0.000

=====

Record 7
! Cs2Mg3Tl12Sn, optimized geometry, DFT GGA-PBE; values from VASP
! **Formation enthalpy at 0 K**: 45.0 meV/atom
! **SG**: R-3m
! **Raw total energy**: -2.12 eV/atom
&SYSTEM
  ibrav = 0, nat = 18, ntyp = 4
/
ATOMIC_SPECIES
Cs 132.91 Cs.upf
Sn 118.71 Sn.upf
Tl 204.38 Tl.upf
Mg 24.30 Mg.upf
CELL_PARAMETERS angstrom
12.275 2.588 1.836
8.312 9.396 1.836
8.312 4.839 8.261
ATOMIC_POSITIONS crystal
Cs 0.649 0.649 0.649
Sn 0.000 0.000 0.000
Cs 0.351 0.351 0.351
Tl 0.183 0.590 0.590
Tl 0.590 0.590 0.183
Mg 0.000 0.500 0.000
Tl 0.076 0.076 0.637
Tl 0.590 0.183 0.590
Tl 0.924 0.363 0.924
Tl 0.924 0.924 0.363
Tl 0.817 0.410 0.410
Tl 0.410 0.817 0.410
Tl 0.363 0.924 0.924
Mg 0.500 0.000 0.000
Tl 0.076 0.637 0.076
Tl 0.410 0.410 0.817
Tl 0.637 0.076 0.076
Mg 0.000 0.000 0.500

=====

Record 8
! Cs2MgTl3Sn4, optimized geometry, DFT GGA-PBE; values from VASP
! **Formation enthalpy at 0 K**: -95.6 meV/atom
! **SG**: P-4m2
! **Raw total energy**: -2.74 eV/atom
&SYSTEM
  ibrav = 0, nat = 10, ntyp = 4
/
ATOMIC_SPECIES
Sn 118.71 Sn.upf
Tl 204.38 Tl.upf
Cs 132.91 Cs.upf
Mg 24.30 Mg.upf
CELL_PARAMETERS angstrom
-3.024 1.745 3.933
-4.284 -0.774 -2.951
-0.962 -11.776 4.485
ATOMIC_POSITIONS crystal
Sn 0.000 0.500 0.375
Tl 0.000 0.500 0.136
Tl 0.500 0.000 0.864
Tl 0.000 0.000 0.500
Cs 0.000 0.500 0.749
Sn 0.500 0.000 0.625
Sn 0.500 0.500 0.000
Sn 0.000 0.000 0.000
Cs 0.500 0.000 0.251
Mg 0.500 0.500 0.500

=====

Record 9
! CsSrMg3, optimized geometry, DFT GGA-PBE; values from VASP
! **Formation enthalpy at 0 K**: 612.5 meV/atom
! **SG**: Pm-3m
! **Raw total energy**: -0.85 eV/atom
! **Energy above the lowest structure with this stoichiometry**: 0 meV per atom
&SYSTEM
  ibrav = 0, nat = 5, ntyp = 3
/
ATOMIC_SPECIES
Mg 24.30 Mg.upf
Cs 132.91 Cs.upf
Sr 87.62 Sr.upf
CELL_PARAMETERS angstrom
-4.492 -4.094 -2.753
4.873 -4.265 -1.609
-0.773 -3.093 5.861
ATOMIC_POSITIONS crystal
Mg 0.000 0.000 0.500
Mg 0.500 0.000 0.000
Cs 0.500 0.500 0.500
Mg 0.000 0.500 0.000
Sr 0.000 0.000 0.000

=====

Record 10
! CsSr3Mg, optimized geometry, DFT GGA-PBE; values from VASP
! **Formation enthalpy at 0 K**: 182.8 meV/atom
! **SG**: Pm-3m
! **Raw total energy**: -1.32 eV/atom
! **Energy above the lowest structure with this stoichiometry**: 0 meV per atom
&SYSTEM
  ibrav = 0, nat = 5, ntyp = 3
/
ATOMIC_SPECIES
Cs 132.91 Cs.upf
Sr 87.62 Sr.upf
Mg 24.30 Mg.upf
CELL_PARAMETERS angstrom
6.772 0.000 0.000
0.000 6.772 0.000
0.000 0.000 6.772
ATOMIC_POSITIONS crystal
Cs 0.500 0.500 0.500
Sr 0.500 0.000 0.000
Sr 0.000 0.500 0.000
Mg 0.000 0.000 0.000
Sr 0.000 0.000 0.500

=====

Record 11
! Cs2SrMg2, optimized geometry, DFT GGA-PBE; values from VASP
! **Formation enthalpy at 0 K**: 224.0 meV/atom
! **SG**: P4/mbm
! **Raw total energy**: -1.09 eV/atom
&SYSTEM
  ibrav = 0, nat = 10, ntyp = 3
/
ATOMIC_SPECIES
Cs 132.91 Cs.upf
Sr 87.62 Sr.upf
Mg 24.30 Mg.upf
CELL_PARAMETERS angstrom
-6.585 -6.495 -1.564
3.109 -4.923 7.354
-4.127 3.242 3.914
ATOMIC_POSITIONS crystal
Cs 0.326 0.174 0.500
Cs 0.174 0.674 0.500
Sr 0.000 0.000 0.000
Cs 0.674 0.826 0.500
Sr 0.500 0.500 0.000
Mg 0.881 0.619 0.000
Cs 0.826 0.326 0.500
Mg 0.381 0.881 0.000
Mg 0.619 0.119 0.000
Mg 0.119 0.381 0.000

=====

Record 12
! CsSrMg14, optimized geometry, DFT GGA-PBE; values from VASP
! **Formation enthalpy at 0 K**: 157.3 meV/atom
! **SG**: Amm2
! **Raw total energy**: -1.40 eV/atom
! **Energy above the lowest structure with this stoichiometry**: 0 meV per atom
&SYSTEM
  ibrav = 0, nat = 16, ntyp = 3
/
ATOMIC_SPECIES
Mg 24.30 Mg.upf
Sr 87.62 Sr.upf
Cs 132.91 Cs.upf
CELL_PARAMETERS angstrom
-2.218 5.199 -3.477
-4.442 -3.759 3.190
0.998 6.400 8.931
ATOMIC_POSITIONS crystal
Mg 0.638 0.362 0.750
Mg 0.409 0.095 0.500
Mg 0.815 0.685 0.000
Sr 0.404 0.596 0.500
Mg 0.304 0.696 0.000
Mg 0.639 0.857 0.784
Mg 0.639 0.857 0.216
Mg 0.143 0.361 0.216
Cs 0.907 0.093 0.500
Mg 0.315 0.185 0.000
Mg 0.143 0.361 0.784
Mg 0.638 0.362 0.250
Mg 0.803 0.197 0.000
Mg 0.905 0.591 0.500
Mg 0.149 0.851 0.751
Mg 0.149 0.851 0.249

=====

Which value of raw total energy does entry 3 give?
-2.52 eV/atom